Here is NaTi2Zn2 after structural relaxation from Alexandria via LeMat-Bulk. Energies are from PBE.

Results
Polymorph energy (0 for the lowest one)   6 meV per atom

a b c (Å): 8.297 8.297 2.640
angles (deg): 90.00 90.00 90.00
Element x y z (fractional)
Na1 0.500 0.500 0.000
Zn1 0.828 0.672 0.000
Zn2 0.672 0.172 0.000
Ti1 0.379 0.121 0.500
Ti2 0.879 0.379 0.500
Zn3 0.172 0.328 0.000
Ti3 0.121 0.621 0.500
Na2 0.000 0.000 0.000
Zn4 0.328 0.828 0.000
Ti4 0.621 0.879 0.500

=====

Here is Li5NdAg7 after structural relaxation from Alexandria via LeMat-Bulk. Energies are from PBE.

a b c (Å): 5.295 7.149 7.149
angles (deg): 82.41 68.26 68.26
Element x y z (fractional)
Nd1 0.991 0.009 0.009
Li1 0.004 0.001 0.497
Ag1 0.000 0.652 0.349
Ag2 0.504 0.780 0.212
Ag3 0.000 0.349 0.652
Ag4 0.340 0.660 0.660
Ag5 0.282 0.218 0.218
Ag6 0.504 0.212 0.780
Li2 0.004 0.497 0.001
Li3 0.730 0.770 0.770
Li4 0.498 0.497 0.001
Li5 0.498 0.001 0.497
Ag7 0.645 0.355 0.355

=====

| no. | calculated total energy (eV/atom) |
| --- | --- |
| 1 | -3.815 |
| 2 | -2.809 |